Density functional theory data (PBE) for a relaxed RbCa2Sn2 crystal.

Geometry as CIF:
```
data_RbCa2Sn2
_chemical_formula_sum 'Rb1 Ca2 Sn2'
_cell_length_a 7.5725
_cell_length_b 7.5725
_cell_length_c 7.5725
_cell_angle_alpha 135.47
_cell_angle_beta 135.47
_cell_angle_gamma 64.80
_space_group_name_H-M_alt 'P 1'
_space_group_IT_number 1
loop_
_space_group_symop_operation_xyz
'x,y,z'
loop_
_atom_site_label
_atom_site_type_symbol
_atom_site_fract_x
_atom_site_fract_y
_atom_site_fract_z
_atom_site_occupancy
Rb1 Rb 0.0000 0.0000 0.0000 1
Ca1 Ca 0.3453 0.3453 0.0000 1
Ca2 Ca 0.6547 0.6547 0.0000 1
Sn1 Sn 0.2500 0.7500 0.5000 1
Sn2 Sn 0.7500 0.2500 0.5000 1
```

Results
**Energy of formation from the pure elements**: -0.14 eV per atom
**Density of states at the Fermi level**: 3.92 states/eV per cell
**Uncorrected energy**: -2.74 eV per atom
**Total magnetization**: 0.0 μB/f.u.
**Volume**: 42.105 Å³ per atom